Record 1
Density functional theory data (PBE) for a relaxed CsCaSbI6 crystal.

Unit cell a=8.042 b=8.042 c=8.639 alpha=90.00 beta=90.00 gamma=60.00
Atoms (fractional coordinates):
I: 0.622 0.009 0.292
Cs: 0.000 0.000 0.000
I: 0.369 0.622 0.292
Sb: 0.333 0.333 0.500
I: 0.009 0.622 0.708
Ca: 0.667 0.667 0.500
I: 0.009 0.369 0.292
I: 0.622 0.369 0.708
I: 0.369 0.009 0.708

Fermi-level density of states = 0.0 states/eV/cell
E_form (uncorrected) = -1.040 eV per atom
Calculated total energy = -25.6 eV/f.u.

***

Record 2
Density functional theory data (PBE) for a relaxed Zn5Pt4 crystal.

Unit cell a=6.128 b=6.128 c=6.128 alpha=95.91 beta=95.91 gamma=142.57
Atoms (fractional coordinates):
Zn: 0.000 0.000 0.000
Pt: 0.000 0.682 0.682
Pt: 0.682 0.000 0.682
Pt: 0.318 0.000 0.318
Zn: 0.670 0.670 0.340
Pt: 0.000 0.318 0.318
Zn: 0.670 0.330 0.000
Zn: 0.330 0.330 0.660
Zn: 0.330 0.670 0.000

Energy above the most stable polymorph in this dataset = 0.000 eV per atom
Fermi-level density of states = 2.3 states/eV/cell
Calculated total energy = -34.4 eV/f.u.
Energy relative to the elements = -3.87 eV per formula unit

***

Record 3
Density functional theory data (PBE) for a relaxed MgZrGaNi crystal.

Unit cell a=4.558 b=4.558 c=4.558 alpha=60.00 beta=60.00 gamma=60.00
Atoms (fractional coordinates):
Ga: 0.500 0.500 0.500
Mg: 0.250 0.250 0.250
Zr: 0.750 0.750 0.750
Ni: 0.000 0.000 0.000

Fermi-level density of states = 2.2 states/eV/cell
Calculated total energy = -20.4 eV/f.u.
Energy relative to the elements = -1.46 eV per formula unit

***

Record 4
Density functional theory data (PBE) for a relaxed CeHoSc2Se4 crystal.

Unit cell a=3.971 b=6.968 c=6.933 alpha=70.97 beta=90.00 gamma=90.00
Last column: magnetic moment on the atom in μB.
Atoms (fractional coordinates):
Ho: 0.000 0.500 0.500  0.03
Se: 0.000 0.228 0.263  0.00
Se: 0.500 0.767 0.250  0.00
Sc: 0.000 0.000 0.000  0.04
Ce: 0.500 0.500 0.000  0.74
Se: 0.500 0.233 0.750  0.00
Se: 0.000 0.772 0.737  0.00
Sc: 0.500 0.000 0.500  0.00

Fermi-level density of states = 9.2 states/eV/cell
E_form (uncorrected) = -1.675 eV per atom
Calculated total energy = -50.5 eV/f.u.

***

Record 5
Density functional theory data (PBE) for a relaxed Tl2InSb2 crystal.

Unit cell a=9.407 b=9.407 c=3.511 alpha=90.00 beta=90.00 gamma=90.00
Atoms (fractional coordinates):
In: 0.000 0.000 0.000
Sb: 0.331 0.169 0.500
Tl: 0.369 0.869 0.000
Sb: 0.669 0.831 0.500
Tl: 0.869 0.631 0.000
Tl: 0.131 0.369 0.000
In: 0.500 0.500 0.000
Tl: 0.631 0.131 0.000
Sb: 0.169 0.669 0.500
Sb: 0.831 0.331 0.500

Energy above the most stable polymorph in this dataset = 0.104 eV per atom
Fermi-level density of states = 5.7 states/eV/cell
E_form (uncorrected) = 0.144 eV per atom
Calculated total energy = -15.0 eV/f.u.

***

Record 6
Density functional theory data (PBE) for a relaxed KCrAs2 crystal.

Unit cell a=5.707 b=5.707 c=5.707 alpha=136.32 beta=136.32 gamma=63.49
Last column: magnetic moment on the atom in μB.
Atoms (fractional coordinates):
As: 0.000 0.000 0.000  -0.12
As: 0.250 0.750 0.500  -0.18
Cr: 0.500 0.500 0.000  3.73
K: 0.750 0.250 0.500  0.00

Energy above the most stable polymorph in this dataset = 0.678 eV per atom
Fermi-level density of states = 3.6 states/eV/cell
Calculated total energy = -18.0 eV/f.u.
Energy relative to the elements = 1.97 eV per formula unit

***

Record 7
Density functional theory data (PBE) for a relaxed LaTb2Pm crystal.

Unit cell a=9.898 b=9.158 c=9.158 alpha=80.12 beta=136.18 gamma=136.18
Atoms (fractional coordinates):
Tb: 0.176 0.561 0.864
Pm: 0.250 0.922 0.078
Tb: 0.824 0.439 0.136
Tb: 0.324 0.136 0.439
Pm: 0.750 0.078 0.922
La: 0.250 0.371 0.629
La: 0.750 0.629 0.371
Tb: 0.676 0.864 0.561

Energy above the most stable polymorph in this dataset = 0.034 eV per atom
Fermi-level density of states = 12.1 states/eV/cell
Calculated total energy = -18.8 eV/f.u.
Energy relative to the elements = 0.19 eV per formula unit

***

Record 8
Density functional theory data (PBE) for a relaxed Tl5PO4F2 crystal.

Unit cell a=6.669 b=5.894 c=7.725 alpha=90.00 beta=90.00 gamma=124.45
Atoms (fractional coordinates):
O: 0.561 0.000 0.834
Tl: 0.714 0.643 0.767
O: 0.422 0.264 0.000
O: 0.158 0.736 0.000
Tl: 0.714 0.643 0.233
Tl: 0.405 0.000 0.500
Tl: 0.071 0.357 0.233
O: 0.561 0.000 0.166
Tl: 0.071 0.357 0.767
F: 0.860 0.419 0.500
F: 0.441 0.581 0.500
P: 0.427 0.000 0.000

Fermi-level density of states = 0.0 states/eV/cell
E_form (uncorrected) = -1.553 eV per atom
Calculated total energy = -59.5 eV/f.u.

***

Record 9
Density functional theory data (PBE) for a relaxed CdCF3 crystal.

Unit cell a=4.371 b=4.371 c=4.371 alpha=90.00 beta=90.00 gamma=90.00
Last column: magnetic moment on the atom in μB.
Atoms (fractional coordinates):
C: 0.500 0.500 0.500  0.71
F: 0.500 0.000 0.000  -0.09
Cd: 0.000 0.000 0.000  -0.02
F: 0.000 0.000 0.500  -0.07
F: 0.000 0.500 0.000  -0.05

Energy above the most stable polymorph in this dataset = 0.194 eV per atom
Fermi-level density of states = 7.2 states/eV/cell
E_form (uncorrected) = 0.067 eV per atom
Calculated total energy = -15.4 eV/f.u.

***

Record 10
Density functional theory data (PBE) for a relaxed TiMo2H crystal.

Unit cell a=2.865 b=2.865 c=7.588 alpha=79.12 beta=79.12 gamma=60.00
Atoms (fractional coordinates):
H: 0.500 0.500 0.500
Mo: 0.115 0.115 0.656
Mo: 0.885 0.885 0.344
Ti: 0.000 0.000 0.000

Energy above the most stable polymorph in this dataset = 0.003 eV per atom
Fermi-level density of states = 3.5 states/eV/cell
Calculated total energy = -31.4 eV/f.u.

***

Record 11
Density functional theory data (PBE) for a relaxed YHo5Tm2 crystal.

Unit cell a=6.646 b=9.527 c=11.036 alpha=115.59 beta=59.09 gamma=120.83
Atoms (fractional coordinates):
Ho: 0.569 0.862 0.178
Tm: 0.926 0.635 0.323
Tm: 0.700 0.490 0.052
Ho: 0.823 0.115 0.927
Ho: 0.324 0.614 0.427
Tm: 0.300 0.510 0.948
Ho: 0.676 0.386 0.573
Ho: 0.198 0.990 0.552
Tm: 0.074 0.365 0.677
Ho: 0.177 0.885 0.073
Y: 0.947 0.739 0.803
Ho: 0.431 0.138 0.822
Ho: 0.802 0.010 0.448
Ho: 0.448 0.240 0.302
Y: 0.053 0.261 0.197
Ho: 0.552 0.760 0.698

Energy above the most stable polymorph in this dataset = 0.000 eV per atom
Fermi-level density of states = 28.0 states/eV/cell
Calculated total energy = -38.3 eV/f.u.
Energy relative to the elements = 0.01 eV per formula unit

***

Record 12
Density functional theory data (PBE) for a relaxed Zr4B2Rh crystal.

Unit cell a=4.975 b=4.975 c=6.700 alpha=68.21 beta=68.21 gamma=90.00
Last column: magnetic moment on the atom in μB.
Atoms (fractional coordinates):
B: 0.431 0.431 0.139  -0.01
Zr: 0.000 0.500 0.000  0.00
Zr: 0.500 0.000 0.000  0.00
Zr: 0.237 0.237 0.526  0.19
Zr: 0.763 0.763 0.474  0.19
B: 0.569 0.569 0.861  -0.01
Rh: 0.000 0.000 0.000  0.03

Fermi-level density of states = 6.8 states/eV/cell
Calculated total energy = -53.9 eV/f.u.
Energy relative to the elements = 0.98 eV per formula unit

***

- Fermi-level density of states of number 8 (Tl5PO4F2)?
  0.0 states/eV/cell

***

What did the fifth record say?
Density functional theory data (PBE) for a relaxed Tl2InSb2 crystal.

Unit cell a=9.407 b=9.407 c=3.511 alpha=90.00 beta=90.00 gamma=90.00
Atoms (fractional coordinates):
In: 0.000 0.000 0.000
Sb: 0.331 0.169 0.500
Tl: 0.369 0.869 0.000
Sb: 0.669 0.831 0.500
Tl: 0.869 0.631 0.000
Tl: 0.131 0.369 0.000
In: 0.500 0.500 0.000
Tl: 0.631 0.131 0.000
Sb: 0.169 0.669 0.500
Sb: 0.831 0.331 0.500

Energy above the most stable polymorph in this dataset = 0.104 eV per atom
Fermi-level density of states = 5.7 states/eV/cell
E_form (uncorrected) = 0.144 eV per atom
Calculated total energy = -15.0 eV/f.u.